Be3CrF: relaxed, PBE+U.

Cell and atoms, written as extended XYZ:
```
5
Lattice="4.605 0.000 0.000 0.000 4.605 0.000 0.000 0.000 4.605" Properties=species:S:1:pos:R:3 pbc="T T T"
Cr 0.000 0.000 0.000
Be 0.000 2.302 0.000
Be 0.000 0.000 2.302
F 2.302 2.302 2.302
Be 2.302 0.000 0.000
```

Properties
Symmetry: No. 221
ΔE to the lowest computed polymorph (eV per formula unit): 4.550
D(E_F) (states/eV/f.u.): 2.63
Size of the total moment (μB/f.u.): 5.1